Here is a relaxed structure of Er2Mo3P4 from OQMD. Energies are from PBE.

Computed properties:
Final energy: -7.908 eV/atom
Spin magnetization: 0.001 μB per atom

Cell lengths 6.6596, 6.7345, 7.0094 Å; angles 90.00, 112.09, 90.00 degrees
Closest atoms and distances in Å follow each position.
Fractional coordinates of all 18 atoms:
Mo 0.2468 0.1370 0.2441  6 P 2.47-2.70
P 0.9787 0.8527 0.1316  5 Mo 2.47-2.72, 1 Er 2.71
Er 0.3070 0.6778 0.4427  7 P 2.71-2.96
Mo 0.0000 0.0000 0.5000  6 P 2.53-2.72
P 0.0213 0.3527 0.3684  5 Mo 2.47-2.72, 1 Er 2.71
Er 0.6930 0.1778 0.0573  7 P 2.71-2.96
P 0.4054 0.0586 0.6524  4 Mo 2.50-2.70
P 0.5946 0.5586 0.8476  4 Mo 2.50-2.70
P 0.0213 0.1473 0.8684  5 Mo 2.47-2.72, 1 Er 2.71
Mo 0.7532 0.8630 0.7559  6 P 2.47-2.70
Mo 0.2468 0.3630 0.7441  6 P 2.47-2.70
P 0.5946 0.9414 0.3476  4 Mo 2.50-2.70
Mo 0.0000 0.5000 0.0000  6 P 2.53-2.72
Er 0.3070 0.8222 0.9427  7 P 2.71-2.96
P 0.9787 0.6473 0.6316  5 Mo 2.47-2.72, 1 Er 2.71
P 0.4054 0.4414 0.1524  4 Mo 2.50-2.70
Er 0.6930 0.3222 0.5573  7 P 2.71-2.96
Mo 0.7532 0.6370 0.2559  6 P 2.47-2.70